1.
# SrCuSb2 GGA-PBE relaxed
data_SrCuSb2
_chemical_formula_sum 'Sr4 Cu4 Sb8'
_symmetry_space_group_name_H-M 'F -4 3 m'
_symmetry_Int_Tables_number 216
_symmetry_space_group_name_Hall 'F -4 2 3'
_cell_length_a 7.522
_cell_length_b 7.522
_cell_length_c 7.522
_cell_angle_alpha 90.00
_cell_angle_beta 90.00
_cell_angle_gamma 90.00
loop_
_atom_site_label
_atom_site_fract_x
_atom_site_fract_y
_atom_site_fract_z
Sr1 0.000 0.000 0.000
Cu1 0.250 0.250 0.250
Sb1 0.000 0.000 0.500
Sb2 0.250 0.250 0.750
# M_tot, Bohr magnetons per cell: 0.000
# Raw total energy, eV per atom: -3.5595

=====

2.
# La7CeSm4 GGA-PBE relaxed
data_La7CeSm4
_chemical_formula_sum 'La7 Ce1 Sm4'
_symmetry_space_group_name_H-M 'P -1'
_symmetry_Int_Tables_number 2
_symmetry_space_group_name_Hall '-P 1'
_cell_length_a 6.375
_cell_length_b 7.338
_cell_length_c 9.764
_cell_angle_alpha 100.87
_cell_angle_beta 95.97
_cell_angle_gamma 106.66
loop_
_atom_site_label
_atom_site_fract_x
_atom_site_fract_y
_atom_site_fract_z
La1 0.000 0.000 0.000
La2 0.004 0.173 0.673
La3 0.496 0.417 0.162
La4 0.500 0.250 0.499
Ce1 0.000 0.500 0.000
Sm1 0.002 0.666 0.669
Sm2 0.495 0.913 0.165
# M_tot, Bohr magnetons per cell: 1.176
# Calculated formation energy, eV/f.u.: 0.48

=====

3.
# Pm8Ga2Cu GGA-PBE relaxed
data_Pm8Ga2Cu
_chemical_formula_sum 'Pm16 Ga4 Cu2'
_symmetry_space_group_name_H-M 'C 1 2/m 1'
_symmetry_Int_Tables_number 12
_symmetry_space_group_name_Hall '-C 2y'
_cell_length_a 18.808
_cell_length_b 5.065
_cell_length_c 6.795
_cell_angle_alpha 90.00
_cell_angle_beta 103.29
_cell_angle_gamma 90.00
loop_
_atom_site_label
_atom_site_fract_x
_atom_site_fract_y
_atom_site_fract_z
Pm1 0.020 0.000 0.278
Pm2 0.093 0.500 0.967
Pm3 0.156 0.500 0.479
Pm4 0.208 0.000 0.812
Ga1 0.185 0.000 0.250
Cu1 0.000 0.500 0.500
# M_tot, Bohr magnetons per cell: 0.000
# Calculated formation energy, eV/f.u.: -2.40

=====

4.
# Ac4Ge2F GGA-PBE relaxed
data_Ac4Ge2F
_chemical_formula_sum 'Ac8 Ge4 F2'
_symmetry_space_group_name_H-M 'P 1 21/m 1'
_symmetry_Int_Tables_number 11
_symmetry_space_group_name_Hall '-P 2yb'
_cell_length_a 7.191
_cell_length_b 7.626
_cell_length_c 8.940
_cell_angle_alpha 90.00
_cell_angle_beta 108.04
_cell_angle_gamma 90.00
loop_
_atom_site_label
_atom_site_fract_x
_atom_site_fract_y
_atom_site_fract_z
Ac1 0.008 0.004 0.253
Ac2 0.445 0.250 0.115
Ac3 0.454 0.250 0.608
Ge1 0.207 0.750 0.556
Ge2 0.213 0.750 0.050
F1 0.249 0.250 0.811
# Energy above the lowest structure with this stoichiometry, eV/atom: 0.000
# M_tot, Bohr magnetons per cell: 0.000

=====

5.
# CdSn2Hg6 GGA-PBE relaxed
data_CdSn2Hg6
_chemical_formula_sum 'Cd2 Sn4 Hg12'
_symmetry_space_group_name_H-M 'C 1 2/m 1'
_symmetry_Int_Tables_number 12
_symmetry_space_group_name_Hall '-C 2y'
_cell_length_a 16.057
_cell_length_b 3.417
_cell_length_c 9.805
_cell_angle_alpha 90.00
_cell_angle_beta 116.01
_cell_angle_gamma 90.00
loop_
_atom_site_label
_atom_site_fract_x
_atom_site_fract_y
_atom_site_fract_z
Cd1 0.000 0.000 0.000
Sn1 0.235 0.500 0.354
Hg1 0.058 0.000 0.332
Hg2 0.102 0.500 0.658
Hg3 0.168 0.500 0.006
# M_tot, Bohr magnetons per cell: 0.000
# Calculated formation energy, eV/f.u.: 0.45

=====

6.
# BaP2Rh GGA-PBE relaxed
data_BaP2Rh
_chemical_formula_sum 'Ba3 P6 Rh3'
_symmetry_space_group_name_H-M 'R -3 m'
_symmetry_Int_Tables_number 166
_symmetry_space_group_name_Hall '-R 3 2"'
_cell_length_a 4.1312
_cell_length_b 4.1312
_cell_length_c 17.0216
_cell_angle_alpha 90.00
_cell_angle_beta 90.00
_cell_angle_gamma 120.00
loop_
_atom_site_label
_atom_site_fract_x
_atom_site_fract_y
_atom_site_fract_z
Ba1 0.0000 0.0000 0.0000
P1 0.0000 0.0000 0.2044
Rh1 0.0000 0.0000 0.5000
# M_tot, Bohr magnetons per cell: 0.000
# Calculated formation energy, eV/f.u.: -3.10

=====

7.
# PrHoEr14 GGA-PBE relaxed
data_PrHoEr14
_chemical_formula_sum 'Pr2 Ho2 Er28'
_symmetry_space_group_name_H-M 'A m m 2'
_symmetry_Int_Tables_number 38
_symmetry_space_group_name_Hall 'A 2 -2'
_cell_length_a 11.370
_cell_length_b 7.078
_cell_length_c 12.250
_cell_angle_alpha 90.00
_cell_angle_beta 90.00
_cell_angle_gamma 90.00
loop_
_atom_site_label
_atom_site_fract_x
_atom_site_fract_y
_atom_site_fract_z
Pr1 0.000 0.000 0.000
Ho1 0.000 0.000 0.500
Er1 0.000 0.250 0.250
Er2 0.250 0.000 0.667
Er3 0.253 0.000 0.167
Er4 0.253 0.249 0.417
Er5 0.500 0.000 0.334
Er6 0.500 0.000 0.833
Er7 0.500 0.250 0.084
# M_tot, Bohr magnetons per cell: 0.000
# Calculated formation energy, eV/f.u.: 0.14

=====

8.
# NbTlSe2 GGA-PBE relaxed
data_NbTlSe2
_chemical_formula_sum 'Nb1 Tl1 Se2'
_symmetry_space_group_name_H-M 'P 4/m m m'
_symmetry_Int_Tables_number 123
_symmetry_space_group_name_Hall '-P 4 2'
_cell_length_a 4.082
_cell_length_b 4.082
_cell_length_c 5.780
_cell_angle_alpha 90.00
_cell_angle_beta 90.00
_cell_angle_gamma 90.00
loop_
_atom_site_label
_atom_site_fract_x
_atom_site_fract_y
_atom_site_fract_z
Nb1 0.000 0.000 0.000
Tl1 0.500 0.500 0.500
Se1 0.000 0.000 0.500
Se2 0.500 0.500 0.000
# M_tot, Bohr magnetons per cell: 2.097
# Raw total energy, eV per atom: -4.8671

=====

9.
# BC3 GGA-PBE relaxed
data_BC3
_chemical_formula_sum 'B2 C6'
_symmetry_space_group_name_H-M 'P -4 m 2'
_symmetry_Int_Tables_number 115
_symmetry_space_group_name_Hall 'P -4 -2'
_cell_length_a 2.519
_cell_length_b 2.519
_cell_length_c 7.793
_cell_angle_alpha 90.00
_cell_angle_beta 90.00
_cell_angle_gamma 90.00
loop_
_atom_site_label
_atom_site_fract_x
_atom_site_fract_y
_atom_site_fract_z
B1 0.000 0.500 0.131
C1 0.000 0.000 0.272
C2 0.000 0.500 0.617
C3 0.500 0.500 0.000
C4 0.500 0.500 0.500
# Energy above the lowest structure with this stoichiometry, eV/atom: 0.039
# M_tot, Bohr magnetons per cell: 0.000
# Calculated formation energy, eV/f.u.: 1.12

=====

10.
# Pm4SmHoTm2 GGA-PBE relaxed
data_Pm4SmHoTm2
_chemical_formula_sum 'Pm4 Sm1 Ho1 Tm2'
_symmetry_space_group_name_H-M 'P 1 2/m 1'
_symmetry_Int_Tables_number 10
_symmetry_space_group_name_Hall '-P 2y'
_cell_length_a 6.218
_cell_length_b 3.602
_cell_length_c 11.841
_cell_angle_alpha 90.00
_cell_angle_beta 100.18
_cell_angle_gamma 90.00
loop_
_atom_site_label
_atom_site_fract_x
_atom_site_fract_y
_atom_site_fract_z
Pm1 0.249 0.000 0.247
Pm2 0.250 0.500 0.750
Sm1 0.500 0.500 0.500
Ho1 0.500 0.000 0.000
Tm1 0.000 0.000 0.500
Tm2 0.000 0.500 0.000
# M_tot, Bohr magnetons per cell: 0.000
# Calculated formation energy, eV/f.u.: 0.14

=====

11.
# AlTeI2O GGA-PBE relaxed
data_AlTeI2O
_chemical_formula_sum 'Al1 Te1 I2 O1'
_symmetry_space_group_name_H-M 'P 4/m m m'
_symmetry_Int_Tables_number 123
_symmetry_space_group_name_Hall '-P 4 2'
_cell_length_a 5.396
_cell_length_b 5.396
_cell_length_c 5.418
_cell_angle_alpha 90.00
_cell_angle_beta 90.00
_cell_angle_gamma 90.00
loop_
_atom_site_label
_atom_site_fract_x
_atom_site_fract_y
_atom_site_fract_z
Al1 0.000 0.000 0.000
Te1 0.000 0.000 0.500
I1 0.000 0.500 0.000
O1 0.500 0.500 0.500
# Energy above the lowest structure with this stoichiometry, eV/atom: 1.299
# M_tot, Bohr magnetons per cell: 0.000

=====

12.
# HfVAu GGA-PBE relaxed
data_HfVAu
_chemical_formula_sum 'Hf2 V2 Au2'
_symmetry_space_group_name_H-M 'P -3 m 1'
_symmetry_Int_Tables_number 164
_symmetry_space_group_name_Hall '-P 3 2"'
_cell_length_a 4.5183
_cell_length_b 4.5183
_cell_length_c 5.9567
_cell_angle_alpha 90.00
_cell_angle_beta 90.00
_cell_angle_gamma 120.00
loop_
_atom_site_label
_atom_site_fract_x
_atom_site_fract_y
_atom_site_fract_z
Hf1 0.0000 0.0000 0.2422
V1 0.3333 0.6667 0.9302
Au1 0.3333 0.6667 0.4006
# Energy above the lowest structure with this stoichiometry, eV/atom: 0.000
# M_tot, Bohr magnetons per cell: 0.000
# Calculated formation energy, eV/f.u.: -0.32

=====

Number 1: theoretical density 6.16 g cm⁻³. Number 2: theoretical density 6.72 g cm⁻³. Number 3: theoretical density 7.19 g cm⁻³. Number 4: theoretical density 7.64 g cm⁻³. Number 5: theoretical density 10.67 g cm⁻³. Number 6: theoretical density 5.98 g cm⁻³. Number 7: theoretical density 8.92 g cm⁻³. Number 8: theoretical density 7.85 g cm⁻³. Number 9: theoretical density 3.15 g cm⁻³. Number 10: theoretical density 7.85 g cm⁻³. Number 11: theoretical density 4.47 g cm⁻³. Number 12: theoretical density 13.45 g cm⁻³.